# 1
Entry from Alexandria: Na2CaPb3C5O15 at its PBEsol-relaxed geometry (SCAN).

Calculated values
Total energy (eV per atom): -16.742
Energy relative to the elements, uncorrected (eV/atom): -1.765
Magnetic moment (μB per atom): 0.000
DOS(E_F) (states/eV per cell): 0.0

a b c (Å): 10.549 10.549 6.582
angles (deg): 90.74 90.74 120.26
Positions (direct):
Na 0.022 0.549 0.486
Na 0.023 0.977 0.500
Na 0.549 0.022 0.986
Na 0.977 0.023 0.000
Ca 0.453 0.977 0.475
Ca 0.977 0.453 0.975
Pb 0.184 0.338 0.314
Pb 0.338 0.184 0.814
Pb 0.350 0.658 0.798
Pb 0.658 0.350 0.298
Pb 0.668 0.818 0.298
Pb 0.818 0.668 0.798
C 0.092 0.297 0.761
C 0.171 0.832 0.804
C 0.295 0.703 0.251
C 0.297 0.092 0.261
C 0.500 0.502 0.455
C 0.502 0.500 0.955
C 0.703 0.295 0.751
C 0.704 0.910 0.754
C 0.832 0.171 0.304
C 0.910 0.704 0.254
O 0.041 0.267 0.941
O 0.099 0.902 0.813
O 0.101 0.690 0.811
O 0.108 0.416 0.677
O 0.126 0.212 0.661
O 0.205 0.583 0.151
O 0.212 0.126 0.161
O 0.267 0.041 0.441
O 0.268 0.726 0.433
O 0.313 0.904 0.789
O 0.360 0.430 0.951
O 0.414 0.802 0.167
O 0.416 0.108 0.177
O 0.429 0.572 0.461
O 0.430 0.360 0.451
O 0.572 0.429 0.961
O 0.574 0.642 0.943
O 0.583 0.205 0.651
O 0.586 0.892 0.657
O 0.642 0.574 0.443
O 0.690 0.101 0.311
O 0.726 0.268 0.933
O 0.730 0.955 0.938
O 0.793 0.881 0.656
O 0.802 0.414 0.667
O 0.881 0.793 0.156
O 0.892 0.586 0.157
O 0.902 0.099 0.313
O 0.904 0.313 0.289
O 0.955 0.730 0.438

***

# 2
Entry from Alexandria: NaCa2TiC at its PBEsol-relaxed geometry (SCAN).

Calculated values
Energy of formation (meV per atom): 804
Total energy (eV per atom): -9.130
Magnetic moment (μB per atom): 0.457
DOS(E_F) (states/eV per cell): 3.9

a b c (Å): 5.894 5.894 4.002
angles (deg): 90.00 90.00 90.00
Positions (direct):
Na 0.000 0.000 0.000
Ca 0.000 0.500 0.500
Ca 0.500 0.000 0.500
Ti 0.500 0.500 0.500
C 0.500 0.500 0.000

***

# 3
Entry from Alexandria: CaNi3C at its PBEsol-relaxed geometry (SCAN).

Calculated values
Energy of formation (meV per atom): 14
Total energy (eV per atom): -13.643
Magnetic moment (μB per atom): 0.356
DOS(E_F) (states/eV per cell): 2.0

a b c (Å): 3.890 3.890 3.890
angles (deg): 90.00 90.00 90.00
Positions (direct):
Ca 0.000 0.000 0.000
Ni 0.000 0.500 0.500
Ni 0.500 0.000 0.500
Ni 0.500 0.500 0.000
C 0.500 0.500 0.500

***

# 4
Entry from Alexandria: CaNi3C at its PBEsol-relaxed geometry (SCAN).

Calculated values
Energy of formation (meV per atom): 3028
Total energy (eV per atom): -10.628
Magnetic moment (μB per atom): 0.000
DOS(E_F) (states/eV per cell): 5.6

a b c (Å): 4.331 4.331 4.331
angles (deg): 90.00 90.00 90.00
Positions (direct):
Ca 0.000 0.000 0.000
Ni 0.000 0.000 0.500
Ni 0.000 0.500 0.000
Ni 0.500 0.000 0.000
C 0.500 0.500 0.500

***

# 5
Entry from Alexandria: CaCO2 at its PBEsol-relaxed geometry (SCAN).

Calculated values
Total energy (eV per atom): -8.383
Energy relative to the elements, uncorrected (eV/atom): -0.326
Magnetic moment (μB per atom): 0.000
DOS(E_F) (states/eV per cell): 0.6

a b c (Å): 5.986 5.986 5.986
angles (deg): 136.63 136.63 63.00
Positions (direct):
Ca 0.000 0.000 0.000
Ca 0.750 0.250 0.500
C 0.250 0.750 0.500
C 0.500 0.500 0.000
O 0.212 0.625 0.087
O 0.375 0.462 0.587
O 0.538 0.125 0.913
O 0.875 0.788 0.413

***

# 6
Entry from Alexandria: CaOsC3 at its PBEsol-relaxed geometry (SCAN).

Calculated values
Energy of formation (meV per atom): 4143
Total energy (eV per atom): -18.226
Magnetic moment (μB per atom): 0.032
DOS(E_F) (states/eV per cell): 4.4

a b c (Å): 3.968 3.968 3.968
angles (deg): 90.00 90.00 90.00
Positions (direct):
Ca 0.000 0.000 0.000
Os 0.500 0.500 0.500
C 0.000 0.000 0.500
C 0.000 0.500 0.000
C 0.500 0.000 0.000